(1)
VASP calculation (PBE-GGA) on crystalline Cs3CdAg2F9 at its relaxed geometry.

Summary:
DOS(E_F)	4.73	states/eV/f.u.
calculated density	5.4	Mg/m³
crystal system	trigonal

Structure (extended XYZ):
```
15
Lattice="6.3977 0.0000 0.0000 -3.1988 5.5405 0.0000 0.0000 0.0000 7.8392" Properties=species:S:1:pos:R:3 pbc="T T T"
Cs 0.0000 0.0000 0.0000
Cs 0.0000 3.6937 5.2223
Cs 3.1988 1.8468 2.6169
Cd 0.0000 0.0000 3.9196
Ag 0.0000 3.6937 1.2791
Ag 3.1988 1.8468 6.5601
F -1.5994 2.7703 0.0000
F 0.0000 1.8378 2.6046
F -1.6072 4.6216 2.6046
F 1.5916 0.9189 5.2346
F 3.1988 0.0000 0.0000
F 1.5994 2.7703 0.0000
F 1.6072 4.6216 2.6046
F 4.8060 0.9189 5.2346
F 3.1988 3.7027 5.2346
```

(2)
VASP calculation (PBE-GGA) on crystalline Cs4Cd3AgF12 at its relaxed geometry.

Summary:
DOS(E_F)	5.71	states/eV/f.u.
calculated density	5.3	Mg/m³
crystal system	cubic

Structure (extended XYZ):
```
20
Lattice="-4.5507 4.5507 4.5507 4.5507 -4.5507 4.5507 4.5507 4.5507 -4.5507" Properties=species:S:1:pos:R:3 pbc="T T T"
Cs 2.2753 2.2753 -2.2753
Cs 2.2753 -2.2753 2.2753
Cs -2.2753 2.2753 2.2753
Cs 2.2753 2.2753 2.2753
Cd 4.5507 0.0000 0.0000
Cd 0.0000 4.5507 0.0000
Cd 0.0000 0.0000 4.5507
Ag 0.0000 0.0000 0.0000
F 2.2925 0.0000 0.0000
F 6.8089 0.0000 0.0000
F 4.5507 2.2753 0.0000
F 4.5507 0.0000 2.2753
F 0.0000 2.2925 0.0000
F 0.0000 0.0000 2.2925
F 2.2753 4.5507 0.0000
F 2.2753 0.0000 4.5507
F 0.0000 6.8089 0.0000
F 0.0000 0.0000 6.8089
F 0.0000 4.5507 2.2753
F 0.0000 2.2753 4.5507
```

(3)
VASP calculation (PBE-GGA) on crystalline CsCd4Ag3F12 at its relaxed geometry.

Summary:
calculated density	5.7	Mg/m³
crystal system	cubic

Structure (extended XYZ):
```
20
Lattice="-4.3606 4.3606 4.3606 4.3606 -4.3606 4.3606 4.3606 4.3606 -4.3606" Properties=species:S:1:pos:R:3 pbc="T T T"
Cs 0.0000 0.0000 0.0000
Cd 2.1803 2.1803 -2.1803
Cd 2.1803 -2.1803 2.1803
Cd -2.1803 2.1803 2.1803
Cd 2.1803 2.1803 2.1803
Ag 4.3606 0.0000 0.0000
Ag 0.0000 4.3606 0.0000
Ag 0.0000 0.0000 4.3606
F 4.3606 2.6679 -1.7447
F 2.6159 0.0000 1.6927
F 6.1053 0.0000 1.6927
F 1.6927 2.6159 0.0000
F 2.6679 -1.7447 4.3606
F 0.0000 1.6927 2.6159
F 4.3606 2.6679 1.7447
F 1.6927 6.1053 0.0000
F 2.6679 1.7447 4.3606
F -1.7447 4.3606 2.6679
F 1.7447 4.3606 2.6679
F 0.0000 1.6927 6.1053
```

(4)
VASP calculation (PBE-GGA) on crystalline Cs3CdAg2F6 at its relaxed geometry.

Summary:
DOS(E_F)	2.06	states/eV/f.u.
calculated density	4.9	Mg/m³
crystal system	trigonal

Structure (extended XYZ):
```
12
Lattice="6.5221 0.0000 0.0000 -3.2610 5.6483 0.0000 0.0000 0.0000 7.6740" Properties=species:S:1:pos:R:3 pbc="T T T"
Cs 0.0000 0.0000 0.0000
Cs 0.0000 3.7655 4.8679
Cs 3.2611 1.8828 2.8061
Cd 0.0000 0.0000 3.8370
Ag 0.0000 3.7655 1.0961
Ag 3.2611 1.8828 6.5780
F 0.0000 1.8178 2.4641
F -1.6868 4.7394 2.4641
F 1.5742 0.9089 5.2100
F 1.6868 4.7394 2.4641
F 4.9479 0.9089 5.2100
F 3.2610 3.8305 5.2100
```

(5)
VASP calculation (PBE-GGA) on crystalline CsCd2GaAg at its relaxed geometry.

Summary:
DOS(E_F)	1.31	states/eV/f.u.
formation energy from the elements	0.048	eV/atom
calculated density	5.5	Mg/m³
crystal system	tetragonal

Structure (extended XYZ):
```
5
Lattice="5.5150 0.0000 0.0000 0.0000 5.5150 0.0000 0.0000 0.0000 5.2765" Properties=species:S:1:pos:R:3 pbc="T T T"
Cs 0.0000 0.0000 0.0000
Cd 0.0000 2.7575 2.6382
Cd 2.7575 0.0000 2.6382
Ga 2.7575 2.7575 2.6382
Ag 2.7575 2.7575 0.0000
```

(6)
VASP calculation (PBE-GGA) on crystalline CsCdGaAg2 at its relaxed geometry.

Summary:
DOS(E_F)	1.46	states/eV/f.u.
formation energy from the elements	0.075	eV/atom
calculated density	5.8	Mg/m³
crystal system	tetragonal

Structure (extended XYZ):
```
5
Lattice="5.2507 0.0000 0.0000 0.0000 5.2507 0.0000 0.0000 0.0000 5.5149" Properties=species:S:1:pos:R:3 pbc="T T T"
Cs 0.0000 0.0000 0.0000
Cd 2.6254 2.6254 0.0000
Ga 2.6254 2.6254 2.7574
Ag 0.0000 2.6254 2.7574
Ag 2.6254 0.0000 2.7574
```

(7)
VASP calculation (PBE-GGA) on crystalline CsCd2GaAg at its relaxed geometry.

Summary:
DOS(E_F)	2.51	states/eV/f.u.
formation energy from the elements	0.084	eV/atom
calculated density	5.6	Mg/m³
crystal system	tetragonal

Structure (extended XYZ):
```
5
Lattice="5.5297 0.0000 0.0000 0.0000 5.5297 0.0000 0.0000 0.0000 5.1943" Properties=species:S:1:pos:R:3 pbc="T T T"
Cs 0.0000 0.0000 0.0000
Cd 0.0000 2.7648 2.5972
Cd 2.7648 0.0000 2.5972
Ga 2.7648 2.7648 0.0000
Ag 2.7648 2.7648 2.5972
```

(8)
VASP calculation (PBE-GGA) on crystalline CsCdAg2Ge at its relaxed geometry.

Summary:
DOS(E_F)	2.04	states/eV/f.u.
formation energy from the elements	0.103	eV/atom
calculated density	5.9	Mg/m³
crystal system	tetragonal

Structure (extended XYZ):
```
5
Lattice="5.2575 0.0000 0.0000 0.0000 5.2575 0.0000 0.0000 0.0000 5.4172" Properties=species:S:1:pos:R:3 pbc="T T T"
Cs 0.0000 0.0000 0.0000
Cd 2.6287 2.6287 0.0000
Ag 0.0000 2.6287 2.7086
Ag 2.6287 0.0000 2.7086
Ge 2.6287 2.6287 2.7086
```

(9)
VASP calculation (PBE-GGA) on crystalline CsCd2AgGe at its relaxed geometry.

Summary:
DOS(E_F)	4.27	states/eV/f.u.
formation energy from the elements	0.121	eV/atom
calculated density	5.3	Mg/m³
crystal system	tetragonal

Structure (extended XYZ):
```
5
Lattice="5.7613 0.0000 0.0000 0.0000 5.7613 0.0000 0.0000 0.0000 5.0851" Properties=species:S:1:pos:R:3 pbc="T T T"
Cs 0.0000 0.0000 0.0000
Cd 0.0000 2.8806 2.5425
Cd 2.8806 0.0000 2.5425
Ag 2.8806 2.8806 0.0000
Ge 2.8806 2.8806 2.5425
```

(10)
VASP calculation (PBE-GGA) on crystalline Cs2CdAgH at its relaxed geometry.

Summary:
DOS(E_F)	0.94	states/eV/f.u.
calculated density	4.5	Mg/m³
crystal system	tetragonal

Structure (extended XYZ):
```
5
Lattice="6.0325 0.0000 0.0000 0.0000 6.0325 0.0000 0.0000 0.0000 4.9883" Properties=species:S:1:pos:R:3 pbc="T T T"
Cs 0.0000 3.0163 0.0000
Cs 3.0163 0.0000 0.0000
Cd 0.0000 0.0000 2.4942
Ag 3.0163 3.0163 2.4942
H 0.0000 0.0000 0.0000
```

For each record above, in turn, the calculated electronic total energy values are -3.7887; -3.8683; -3.6573; -3.5838; -1.6639; -2.0247; -1.6286; -2.3151; -1.9095; -1.6832 eV per atom.